Below is a geometry-optimized KRbTl2F8 structure, with properties calculated at the PBE level.

abc: 6.1036 6.1036 7.2488
angles: 114.90 114.90 90.00
Last column: nearest neighbours and their distance in Å.
Fractional positions:
K 0.7500 0.2500 0.5000  8 F 2.73-2.75
Rb 0.0000 0.0000 0.0000  8 F 2.79-2.82
Tl 0.5000 0.5000 0.0000  4 F 2.14
Tl 0.2500 0.7500 0.5000  4 F 2.14
F 0.7977 0.8182 0.2015  1 Tl 2.14
F 0.4038 0.3833 0.2015  1 Tl 2.14
F 0.5572 0.6367 0.6944  1 Tl 2.14
F 0.1373 0.0577 0.6944  1 Tl 2.14
F 0.9423 0.4428 0.3056  1 Tl 2.14
F 0.3633 0.8627 0.3056  1 Tl 2.14
F 0.1818 0.5962 0.7985  1 Tl 2.14
F 0.6167 0.2023 0.7985  1 Tl 2.14

## Properties
D(E_F), states/eV per atom: 0.0000
Total moment, μB/cell: 0.163
Uncorrected energy, eV/atom: -3.975
Raw formation energy, eV per atom: -2.1605